<a>
First-principles (GGA-PBE) data for a geometry-optimized V3CuAg structure, as listed in Alexandria via LeMat-Bulk.

Output
The density of states at the Fermi level is 12.68 states/eV/cell. As for the crystal system: cubic.

Geometry as POSCAR:
```
V3CuAg
1.0
-4.160 -1.348 -2.127
1.898 -4.378 -0.938
-1.655 -1.633 4.271
Ag Cu V
1 1 3
Direct
0.000 0.000 0.000
0.500 0.500 0.500
0.000 0.500 0.000
0.000 0.000 0.500
0.500 0.000 0.000
```

=====

<b>
First-principles (GGA-PBE) data for a geometry-optimized V3CuAg structure, as listed in Alexandria via LeMat-Bulk.

Output
The density of states at the Fermi level is 7.39 states/eV/cell. As for the crystal system: cubic.

Geometry as POSCAR:
```
V3CuAg
1.0
-3.547 -2.033 -1.749
-0.524 -2.319 3.758
-2.630 3.204 1.610
Ag Cu V
1 1 3
Direct
0.500 0.500 0.500
0.000 0.000 0.000
0.000 0.500 0.000
0.000 0.000 0.500
0.500 0.000 0.000
```

=====

Stability check: which of them is least stable? <a>.